Entry from the Alexandria database: a geometry-optimized PmLuScPb structure (PBE-GGA).

a b c (Å): 7.590 7.590 7.590
angles (deg): 90.00 90.00 90.00
Space group F-43m (No. 216)
One atom of each set of equivalent atoms:
Pm1 0.000 0.000 0.000 (multiplicity 4)
Lu1 0.250 0.250 0.750 (multiplicity 4)
Sc1 0.000 0.000 0.500 (multiplicity 4)
Pb1 0.250 0.250 0.250 (multiplicity 4)

Calculated values
Uncorrected energy   -4.924 eV per atom
Fermi-level density of states   28.16 states/eV per cell
Energy of formation   -96 meV/atom
Magnetization   0.00 μB per formula unit



Entry from the Alexandria database: a geometry-optimized PmLuSnPb structure (PBE-GGA).

a b c (Å): 7.671 7.671 7.671
angles (deg): 90.00 90.00 90.00
Space group F-43m (No. 216)
One atom of each set of equivalent atoms:
Pm1 0.000 0.000 0.000 (multiplicity 4)
Lu1 0.000 0.000 0.500 (multiplicity 4)
Sn1 0.250 0.250 0.250 (multiplicity 4)
Pb1 0.250 0.250 0.750 (multiplicity 4)

Calculated values
Uncorrected energy   -4.683 eV per atom
Fermi-level density of states   13.66 states/eV per cell
Energy of formation   -437 meV/atom
Magnetization   0.00 μB per formula unit



Entry from the Alexandria database: a geometry-optimized PrLuPb2 structure (PBE-GGA).

a b c (Å): 5.070 5.070 4.524
angles (deg): 90.00 90.00 90.00
Space group P4/mmm (No. 123)
One atom of each set of equivalent atoms:
Pr1 0.000 0.000 0.000 (multiplicity 1)
Lu1 0.500 0.500 0.000 (multiplicity 1)
Pb1 0.000 0.500 0.500 (multiplicity 2)

Calculated values
Uncorrected energy   -4.601 eV per atom
Fermi-level density of states   3.73 states/eV per cell
Energy of formation   -422 meV/atom
Magnetization   0.00 μB per formula unit



Entry from the Alexandria database: a geometry-optimized PrLuPb structure (PBE-GGA).

a b c (Å): 3.642 3.642 14.003
angles (deg): 90.00 90.00 90.00
Space group I4mm (No. 107)
One atom of each set of equivalent atoms:
Pr1 0.000 0.000 0.000 (multiplicity 2)
Lu1 0.000 0.000 0.318 (multiplicity 2)
Pb1 0.000 0.000 0.667 (multiplicity 2)

Calculated values
Uncorrected energy   -4.610 eV per atom
Fermi-level density of states   4.55 states/eV per cell
Energy of formation   -274 meV/atom
Magnetization   0.00 μB per formula unit



Entry from the Alexandria database: a geometry-optimized PrLuPb2 structure (PBE-GGA).

a b c (Å): 3.7580 3.7580 29.8180
angles (deg): 90.00 90.00 120.00
Space group R-3m (No. 166, hexagonal axes)
One atom of each set of equivalent atoms:
Pr1 0.0000 0.0000 0.0000 (multiplicity 3)
Lu1 0.0000 0.0000 0.5000 (multiplicity 3)
Pb1 0.0000 0.0000 0.2459 (multiplicity 6)

Calculated values
Uncorrected energy   -4.507 eV per atom
Fermi-level density of states   7.92 states/eV per cell
Energy of formation   -328 meV/atom
Magnetization   0.00 μB per formula unit



Entry from the Alexandria database: a geometry-optimized Pr2LuPb structure (PBE-GGA).

a b c (Å): 3.5998 3.5998 36.8820
angles (deg): 90.00 90.00 120.00
Space group R-3m (No. 166, hexagonal axes)
One atom of each set of equivalent atoms:
Pr1 0.0000 0.0000 0.0891 (multiplicity 6)
Lu1 0.0000 0.0000 0.5000 (multiplicity 3)
Pb1 0.0000 0.0000 0.0000 (multiplicity 3)

Calculated values
Uncorrected energy   -4.405 eV per atom
Fermi-level density of states   12.05 states/eV per cell
Energy of formation   42 meV/atom
Magnetization   0.00 μB per formula unit



Entry from the Alexandria database: a geometry-optimized PrLuPb2 structure (PBE-GGA).

a b c (Å): 7.793 7.793 7.793
angles (deg): 90.00 90.00 90.00
Space group Fm-3m (No. 225)
One atom of each set of equivalent atoms:
Pr1 0.000 0.000 0.000 (multiplicity 4)
Lu1 0.000 0.000 0.500 (multiplicity 4)
Pb1 0.250 0.250 0.250 (multiplicity 8)

Calculated values
Uncorrected energy   -4.535 eV per atom
Fermi-level density of states   16.40 states/eV per cell
Energy of formation   -356 meV/atom
Magnetization   0.00 μB per formula unit



Entry from the Alexandria database: a geometry-optimized PrLuPb structure (PBE-GGA).

a b c (Å): 5.1422 5.1422 4.1678
angles (deg): 90.00 90.00 120.00
Space group P-6m2 (No. 187)
One atom of each set of equivalent atoms:
Pr1 0.0000 0.0000 0.0000 (multiplicity 1)
Lu1 0.6667 0.3333 0.5000 (multiplicity 1)
Pb1 0.3333 0.6667 0.5000 (multiplicity 1)

Calculated values
Uncorrected energy   -4.588 eV per atom
Fermi-level density of states   1.34 states/eV per cell
Energy of formation   -251 meV/atom
Magnetization   0.00 μB per formula unit



Entry from the Alexandria database: a geometry-optimized Pr2LuPb structure (PBE-GGA).

a b c (Å): 4.943 4.943 4.995
angles (deg): 90.00 90.00 90.00
Space group P4/mmm (No. 123)
One atom of each set of equivalent atoms:
Pr1 0.000 0.500 0.000 (multiplicity 2)
Lu1 0.000 0.000 0.500 (multiplicity 1)
Pb1 0.500 0.500 0.500 (multiplicity 1)

Calculated values
Uncorrected energy   -4.741 eV per atom
Fermi-level density of states   3.93 states/eV per cell
Energy of formation   -294 meV/atom
Magnetization   0.00 μB per formula unit



Entry from the Alexandria database: a geometry-optimized PrLuPb2 structure (PBE-GGA).

a b c (Å): 3.566 3.566 9.071
angles (deg): 90.00 90.00 90.00
Space group P4/mmm (No. 123)
One atom of each set of equivalent atoms:
Pr1 0.000 0.000 0.000 (multiplicity 1)
Lu1 0.000 0.000 0.500 (multiplicity 1)
Pb1 0.500 0.500 0.264 (multiplicity 2)

Calculated values
Uncorrected energy   -4.603 eV per atom
Fermi-level density of states   3.36 states/eV per cell
Energy of formation   -424 meV/atom
Magnetization   0.00 μB per formula unit



Entry from the Alexandria database: a geometry-optimized PrLuPtPb structure (PBE-GGA).

a b c (Å): 7.426 7.426 7.426
angles (deg): 90.00 90.00 90.00
Space group F-43m (No. 216)
One atom of each set of equivalent atoms:
Pr1 0.000 0.000 0.000 (multiplicity 4)
Lu1 0.000 0.000 0.500 (multiplicity 4)
Pt1 0.250 0.250 0.750 (multiplicity 4)
Pb1 0.250 0.250 0.250 (multiplicity 4)

Calculated values
Uncorrected energy   -5.437 eV per atom
Fermi-level density of states   6.75 states/eV per cell
Energy of formation   -675 meV/atom
Magnetization   0.00 μB per formula unit



Entry from the Alexandria database: a geometry-optimized PrSmLuPb structure (PBE-GGA).

a b c (Å): 7.877 7.877 7.877
angles (deg): 90.00 90.00 90.00
Space group F-43m (No. 216)
One atom of each set of equivalent atoms:
Pr1 0.000 0.000 0.000 (multiplicity 4)
Sm1 0.000 0.000 0.500 (multiplicity 4)
Lu1 0.250 0.250 0.750 (multiplicity 4)
Pb1 0.250 0.250 0.250 (multiplicity 4)

Calculated values
Uncorrected energy   -4.576 eV per atom
Fermi-level density of states   28.82 states/eV per cell
Energy of formation   -144 meV/atom
Magnetization   0.00 μB per formula unit



Entry from the Alexandria database: a geometry-optimized PrLuSnPb structure (PBE-GGA).

a b c (Å): 7.723 7.723 7.723
angles (deg): 90.00 90.00 90.00
Space group F-43m (No. 216)
One atom of each set of equivalent atoms:
Pr1 0.000 0.000 0.000 (multiplicity 4)
Lu1 0.000 0.000 0.500 (multiplicity 4)
Sn1 0.250 0.250 0.250 (multiplicity 4)
Pb1 0.250 0.250 0.750 (multiplicity 4)

Calculated values
Uncorrected energy   -4.688 eV per atom
Fermi-level density of states   15.80 states/eV per cell
Energy of formation   -435 meV/atom
Magnetization   0.00 μB per formula unit



Entry from the Alexandria database: a geometry-optimized PrLuTlPb structure (PBE-GGA).

a b c (Å): 7.734 7.734 7.734
angles (deg): 90.00 90.00 90.00
Space group F-43m (No. 216)
One atom of each set of equivalent atoms:
Pr1 0.000 0.000 0.000 (multiplicity 4)
Lu1 0.000 0.000 0.500 (multiplicity 4)
Tl1 0.250 0.250 0.250 (multiplicity 4)
Pb1 0.250 0.250 0.750 (multiplicity 4)

Calculated values
Uncorrected energy   -4.180 eV per atom
Fermi-level density of states   12.76 states/eV per cell
Energy of formation   -337 meV/atom
Magnetization   0.00 μB per formula unit



Entry from the Alexandria database: a geometry-optimized PrLuZnPb structure (PBE-GGA).

a b c (Å): 7.497 7.497 7.497
angles (deg): 90.00 90.00 90.00
Space group F-43m (No. 216)
One atom of each set of equivalent atoms:
Pr1 0.000 0.000 0.000 (multiplicity 4)
Lu1 0.000 0.000 0.500 (multiplicity 4)
Zn1 0.250 0.250 0.750 (multiplicity 4)
Pb1 0.250 0.250 0.250 (multiplicity 4)

Calculated values
Uncorrected energy   -3.909 eV per atom
Fermi-level density of states   12.35 states/eV per cell
Energy of formation   -339 meV/atom
Magnetization   0.00 μB per formula unit